w | # GGA-PBE ErTmNi2, optimized geometry
# - magnetic moment (μB per formula unit) = 0.00
data_ErTmNi2
_space_group_name_H-M_alt 'P 1 m 1'
_space_group_IT_number 6
_cell_length_a 3.703
_cell_length_b 4.140
_cell_length_c 5.368
_cell_angle_alpha 90.00
_cell_angle_beta 110.26
_cell_angle_gamma 90.00
loop_
_space_group_symop_operation_xyz
'x,y,z'
'x,-y,z'
loop_
_atom_site_label
_atom_site_type_symbol
_atom_site_fract_x
_atom_site_fract_y
_atom_site_fract_z
_atom_site_occupancy
Er1 Er 0.000 0.000 0.000 1
Tm1 Tm 0.279 0.500 0.560 1
Ni1 Ni 0.568 0.500 0.136 1
Ni2 Ni 0.713 0.000 0.426 1

=====

x | # GGA-PBE ErTmNi2, optimized geometry
# - magnetic moment (μB per formula unit) = 0.00
data_ErTmNi2
_space_group_name_H-M_alt 'F m -3 m'
_space_group_IT_number 225
_space_group_name_Hall '-F 4 2 3'
_cell_length_a 6.676
_cell_length_b 6.676
_cell_length_c 6.676
_cell_angle_alpha 90.00
_cell_angle_beta 90.00
_cell_angle_gamma 90.00
loop_
_atom_site_label
_atom_site_type_symbol
_atom_site_fract_x
_atom_site_fract_y
_atom_site_fract_z
_atom_site_occupancy
Er1 Er 0.000 0.000 0.000 1
Tm1 Tm 0.000 0.000 0.500 1
Ni1 Ni 0.250 0.250 0.250 1

=====

w ends up most stable, edging out the next structure by 52 meV per atom.

=====

w | # GGA-PBE ErTmZnNi, optimized geometry
# - magnetic moment (μB per formula unit) = 0.00
data_ErTmZnNi
_space_group_name_H-M_alt 'F -4 3 m'
_space_group_IT_number 216
_space_group_name_Hall 'F -4 2 3'
_cell_length_a 6.858
_cell_length_b 6.858
_cell_length_c 6.858
_cell_angle_alpha 90.00
_cell_angle_beta 90.00
_cell_angle_gamma 90.00
loop_
_atom_site_label
_atom_site_type_symbol
_atom_site_fract_x
_atom_site_fract_y
_atom_site_fract_z
_atom_site_occupancy
Er1 Er 0.000 0.000 0.000 1
Tm1 Tm 0.000 0.000 0.500 1
Zn1 Zn 0.250 0.250 0.750 1
Ni1 Ni 0.250 0.250 0.250 1

=====

x | # GGA-PBE ErTmZnNi, optimized geometry
# - magnetic moment (μB per formula unit) = 0.00
data_ErTmZnNi
_space_group_name_H-M_alt 'P 4 m m'
_space_group_IT_number 99
_cell_length_a 3.421
_cell_length_b 3.421
_cell_length_c 6.899
_cell_angle_alpha 90.00
_cell_angle_beta 90.00
_cell_angle_gamma 90.00
loop_
_space_group_symop_operation_xyz
'x,y,z'
'-y,x,z'
'-x,-y,z'
'y,-x,z'
'-x,y,z'
'y,x,z'
'x,-y,z'
'-y,-x,z'
loop_
_atom_site_label
_atom_site_type_symbol
_atom_site_fract_x
_atom_site_fract_y
_atom_site_fract_z
_atom_site_occupancy
Er1 Er 0.000 0.000 0.000 1
Tm1 Tm 0.000 0.000 0.533 1
Zn1 Zn 0.500 0.500 0.268 1
Ni1 Ni 0.500 0.500 0.764 1

=====

x ends up most stable, edging out the next structure by 28 meV per atom.

=====

w | # GGA-PBE YEr2Ni, optimized geometry
# - magnetic moment (μB per formula unit) = 0.00
data_YEr2Ni
_space_group_name_H-M_alt 'R -3 m'
_space_group_IT_number 166
_space_group_name_Hall '-R 3 2"'
_cell_length_a 3.6466
_cell_length_b 3.6466
_cell_length_c 28.0647
_cell_angle_alpha 90.00
_cell_angle_beta 90.00
_cell_angle_gamma 120.00
loop_
_atom_site_label
_atom_site_type_symbol
_atom_site_fract_x
_atom_site_fract_y
_atom_site_fract_z
_atom_site_occupancy
Y1 Y 0.0000 0.0000 0.0000 1
Er1 Er 0.0000 0.0000 0.2269 1
Ni1 Ni 0.0000 0.0000 0.5000 1

=====

x | # GGA-PBE YEr2Ni, optimized geometry
# - magnetic moment (μB per formula unit) = 0.00
data_YEr2Ni
_space_group_name_H-M_alt 'P 4/m m m'
_space_group_IT_number 123
_space_group_name_Hall '-P 4 2'
_cell_length_a 3.414
_cell_length_b 3.414
_cell_length_c 8.651
_cell_angle_alpha 90.00
_cell_angle_beta 90.00
_cell_angle_gamma 90.00
loop_
_atom_site_label
_atom_site_type_symbol
_atom_site_fract_x
_atom_site_fract_y
_atom_site_fract_z
_atom_site_occupancy
Y1 Y 0.000 0.000 0.000 1
Er1 Er 0.500 0.500 0.315 1
Ni1 Ni 0.000 0.000 0.500 1

=====

x ends up most stable, edging out the next structure by 94 meV per atom.

=====

w | # GGA-PBE YEr2Ni, optimized geometry
# - magnetic moment (μB per formula unit) = 0.01
data_YEr2Ni
_space_group_name_H-M_alt 'C m c m'
_space_group_IT_number 63
_space_group_name_Hall '-C 2c 2'
_cell_length_a 3.631
_cell_length_b 11.931
_cell_length_c 9.437
_cell_angle_alpha 90.00
_cell_angle_beta 90.00
_cell_angle_gamma 90.00
loop_
_atom_site_label
_atom_site_type_symbol
_atom_site_fract_x
_atom_site_fract_y
_atom_site_fract_z
_atom_site_occupancy
Y1 Y 0.000 0.079 0.250 1
Er1 Er 0.000 0.362 0.070 1
Ni1 Ni 0.000 0.236 0.750 1

=====

x | # GGA-PBE YEr2Ni, optimized geometry
# - magnetic moment (μB per formula unit) = 0.00
data_YEr2Ni
_space_group_name_H-M_alt 'P n m a'
_space_group_IT_number 62
_cell_length_a 6.823
_cell_length_b 9.517
_cell_length_c 6.290
_cell_angle_alpha 90.00
_cell_angle_beta 90.00
_cell_angle_gamma 90.00
loop_
_space_group_symop_operation_xyz
'x,y,z'
'-x,-y,-z'
'-x+1/2,-y,z+1/2'
'x+1/2,y,-z+1/2'
'x+1/2,-y+1/2,-z+1/2'
'-x+1/2,y+1/2,z+1/2'
'-x,y+1/2,-z'
'x,-y+1/2,z'
loop_
_atom_site_label
_atom_site_type_symbol
_atom_site_fract_x
_atom_site_fract_y
_atom_site_fract_z
_atom_site_occupancy
Y1 Y 0.031 0.250 0.137 1
Er1 Er 0.178 0.066 0.678 1
Ni1 Ni 0.108 0.750 0.441 1

=====

x ends up most stable, edging out the next structure by 33 meV per atom.

=====

w | # GGA-PBE YEr3Ni, optimized geometry
# - magnetic moment (μB per formula unit) = 0.00
data_YEr3Ni
_space_group_name_H-M_alt 'P m -3 m'
_space_group_IT_number 221
_space_group_name_Hall '-P 4 2 3'
_cell_length_a 5.264
_cell_length_b 5.264
_cell_length_c 5.264
_cell_angle_alpha 90.00
_cell_angle_beta 90.00
_cell_angle_gamma 90.00
loop_
_atom_site_label
_atom_site_type_symbol
_atom_site_fract_x
_atom_site_fract_y
_atom_site_fract_z
_atom_site_occupancy
Y1 Y 0.000 0.000 0.000 1
Er1 Er 0.000 0.500 0.500 1
Ni1 Ni 0.500 0.500 0.500 1

=====

x | # GGA-PBE YEr3Ni, optimized geometry
# - magnetic moment (μB per formula unit) = 0.00
data_YEr3Ni
_space_group_name_H-M_alt 'P 1 21/c 1'
_space_group_IT_number 14
_cell_length_a 7.879
_cell_length_b 7.132
_cell_length_c 9.855
_cell_angle_alpha 90.00
_cell_angle_beta 106.84
_cell_angle_gamma 90.00
loop_
_space_group_symop_operation_xyz
'x,y,z'
'-x,-y,-z'
'-x,y+1/2,-z+1/2'
'x,-y+1/2,z+1/2'
loop_
_atom_site_label
_atom_site_type_symbol
_atom_site_fract_x
_atom_site_fract_y
_atom_site_fract_z
_atom_site_occupancy
Y1 Y 0.184 0.041 0.257 1
Er1 Er 0.070 0.705 0.027 1
Er2 Er 0.283 0.509 0.380 1
Er3 Er 0.416 0.130 0.607 1
Ni1 Ni 0.437 0.739 0.607 1

=====

x ends up most stable, edging out the next structure by 64 meV per atom.

=====

w | # GGA-PBE ErZn2Ni9, optimized geometry
# - magnetic moment (μB per formula unit) = 2.86
data_ErZn2Ni9
_space_group_name_H-M_alt 'P 4/m b m'
_space_group_IT_number 127
_space_group_name_Hall '-P 4 2ab'
_cell_length_a 8.041
_cell_length_b 8.041
_cell_length_c 4.720
_cell_angle_alpha 90.00
_cell_angle_beta 90.00
_cell_angle_gamma 90.00
loop_
_atom_site_label
_atom_site_type_symbol
_atom_site_fract_x
_atom_site_fract_y
_atom_site_fract_z
_atom_site_occupancy
Er1 Er 0.000 0.000 0.000 1
Zn1 Zn 0.118 0.382 0.000 1
Ni1 Ni 0.000 0.500 0.500 1
Ni2 Ni 0.063 0.209 0.500 1
Ni3 Ni 0.179 0.679 0.242 1

=====

x | # GGA-PBE ErZn2Ni9, optimized geometry
# - magnetic moment (μB per formula unit) = 3.06
data_ErZn2Ni9
_space_group_name_H-M_alt 'R -3 m'
_space_group_IT_number 166
_space_group_name_Hall '-R 3 2"'
_cell_length_a 4.7976
_cell_length_b 4.7976
_cell_length_c 23.2468
_cell_angle_alpha 90.00
_cell_angle_beta 90.00
_cell_angle_gamma 120.00
loop_
_atom_site_label
_atom_site_type_symbol
_atom_site_fract_x
_atom_site_fract_y
_atom_site_fract_z
_atom_site_occupancy
Er1 Er 0.0000 0.0000 0.0000 1
Zn1 Zn 0.0000 0.0000 0.1445 1
Ni1 Ni 0.0000 0.0000 0.3341 1
Ni2 Ni 0.0000 0.0000 0.5000 1
Ni3 Ni 0.0046 0.5023 0.9142 1

=====

w ends up most stable, edging out the next structure by 45 meV per atom.

=====

w | # GGA-PBE Er2ZnNi3, optimized geometry
# - magnetic moment (μB per formula unit) = 0.00
data_Er2ZnNi3
_space_group_name_H-M_alt 'R -3 m'
_space_group_IT_number 166
_space_group_name_Hall '-R 3 2"'
_cell_length_a 5.2242
_cell_length_b 5.2242
_cell_length_c 12.1459
_cell_angle_alpha 90.00
_cell_angle_beta 90.00
_cell_angle_gamma 120.00
loop_
_atom_site_label
_atom_site_type_symbol
_atom_site_fract_x
_atom_site_fract_y
_atom_site_fract_z
_atom_site_occupancy
Er1 Er 0.0000 0.0000 0.1259 1
Zn1 Zn 0.0000 0.0000 0.5000 1
Ni1 Ni 0.0000 0.5000 0.0000 1

=====

x | # GGA-PBE Er2ZnNi3, optimized geometry
# - magnetic moment (μB per formula unit) = 0.00
data_Er2ZnNi3
_space_group_name_H-M_alt 'F m m m'
_space_group_IT_number 69
_space_group_name_Hall '-F 2 2'
_cell_length_a 7.199
_cell_length_b 8.240
_cell_length_c 14.159
_cell_angle_alpha 90.00
_cell_angle_beta 90.00
_cell_angle_gamma 90.00
loop_
_atom_site_label
_atom_site_type_symbol
_atom_site_fract_x
_atom_site_fract_y
_atom_site_fract_z
_atom_site_occupancy
Er1 Er 0.247 0.000 0.000 1
Er2 Er 0.250 0.250 0.250 1
Zn1 Zn 0.000 0.000 0.334 1
Ni1 Ni 0.000 0.000 0.165 1
Ni2 Ni 0.000 0.247 0.083 1

=====

w ends up most stable, edging out the next structure by 37 meV per atom.

=====

w | # GGA-PBE ErZn9Ni2, optimized geometry
# - magnetic moment (μB per formula unit) = 0.00
data_ErZn9Ni2
_space_group_name_H-M_alt 'P 6/m m m'
_space_group_IT_number 191
_space_group_name_Hall '-P 6 2'
_cell_length_a 8.4455
_cell_length_b 8.4455
_cell_length_c 2.9653
_cell_angle_alpha 90.00
_cell_angle_beta 90.00
_cell_angle_gamma 120.00
loop_
_atom_site_label
_atom_site_type_symbol
_atom_site_fract_x
_atom_site_fract_y
_atom_site_fract_z
_atom_site_occupancy
Er1 Er 0.0000 0.0000 0.0000 1
Zn1 Zn 0.0000 0.5000 0.0000 1
Zn2 Zn 0.1883 0.3766 0.5000 1
Ni1 Ni 0.3333 0.6667 0.0000 1

=====

x | # GGA-PBE ErZn9Ni2, optimized geometry
# - magnetic moment (μB per formula unit) = 0.00
data_ErZn9Ni2
_space_group_name_H-M_alt 'I 41/a m d'
_space_group_IT_number 141
_cell_length_a 10.354
_cell_length_b 10.354
_cell_length_c 6.716
_cell_angle_alpha 90.00
_cell_angle_beta 90.00
_cell_angle_gamma 90.00
loop_
_space_group_symop_operation_xyz
'x,y,z'
'-x,-y,-z'
'-y+1/4,x+3/4,z+1/4'
'y+1/4,-x+3/4,-z+1/4'
'-x+1/2,-y,z+1/2'
'x+1/2,y,-z+1/2'
'y+1/4,-x+1/4,z+3/4'
'-y+1/4,x+1/4,-z+3/4'
'x,-y,-z'
'-x,y,z'
'-y+1/4,-x+1/4,-z+3/4'
'y+1/4,x+1/4,z+3/4'
'-x+1/2,y,-z+1/2'
'x+1/2,-y,z+1/2'
'y+1/4,x+3/4,-z+1/4'
'-y+1/4,-x+3/4,z+1/4'
'x+1/2,y+1/2,z+1/2'
'-x+1/2,-y+1/2,-z+1/2'
'-y+3/4,x+1/4,z+3/4'
'y+3/4,-x+1/4,-z+3/4'
'-x,-y+1/2,z'
'x,y+1/2,-z'
'y+3/4,-x+3/4,z+1/4'
'-y+3/4,x+3/4,-z+1/4'
'x+1/2,-y+1/2,-z+1/2'
'-x+1/2,y+1/2,z+1/2'
'-y+3/4,-x+3/4,-z+1/4'
'y+3/4,x+3/4,z+1/4'
'-x,y+1/2,-z'
'x,-y+1/2,z'
'y+3/4,x+1/4,-z+3/4'
'-y+3/4,-x+1/4,z+3/4'
loop_
_atom_site_label
_atom_site_type_symbol
_atom_site_fract_x
_atom_site_fract_y
_atom_site_fract_z
_atom_site_occupancy
Er1 Er 0.000 0.250 0.375 1
Zn1 Zn 0.000 0.250 0.875 1
Zn2 Zn 0.121 0.047 0.683 1
Ni1 Ni 0.000 0.000 0.000 1

=====

x ends up most stable, edging out the next structure by 71 meV per atom.

=====

w | # GGA-PBE ErZn4Ni, optimized geometry
# - magnetic moment (μB per formula unit) = 0.00
data_ErZn4Ni
_space_group_name_H-M_alt 'F -4 3 m'
_space_group_IT_number 216
_space_group_name_Hall 'F -4 2 3'
_cell_length_a 7.265
_cell_length_b 7.265
_cell_length_c 7.265
_cell_angle_alpha 90.00
_cell_angle_beta 90.00
_cell_angle_gamma 90.00
loop_
_atom_site_label
_atom_site_type_symbol
_atom_site_fract_x
_atom_site_fract_y
_atom_site_fract_z
_atom_site_occupancy
Er1 Er 0.000 0.000 0.000 1
Zn1 Zn 0.124 0.124 0.624 1
Ni1 Ni 0.250 0.250 0.250 1

=====

x | # GGA-PBE ErZn4Ni, optimized geometry
# - magnetic moment (μB per formula unit) = 0.00
data_ErZn4Ni
_space_group_name_H-M_alt 'P m m a'
_space_group_IT_number 51
_cell_length_a 7.600
_cell_length_b 3.890
_cell_length_c 6.712
_cell_angle_alpha 90.00
_cell_angle_beta 90.00
_cell_angle_gamma 90.00
loop_
_space_group_symop_operation_xyz
'x,y,z'
'-x,-y,-z'
'-x+1/2,-y,z'
'x+1/2,y,-z'
'x+1/2,-y,-z'
'-x+1/2,y,z'
'-x,y,-z'
'x,-y,z'
loop_
_atom_site_label
_atom_site_type_symbol
_atom_site_fract_x
_atom_site_fract_y
_atom_site_fract_z
_atom_site_occupancy
Er1 Er 0.250 0.000 0.108 1
Zn1 Zn 0.000 0.000 0.500 1
Zn2 Zn 0.056 0.500 0.807 1
Zn3 Zn 0.250 0.500 0.452 1
Ni1 Ni 0.250 0.000 0.711 1

=====

x ends up most stable, edging out the next structure by 123 meV per atom.

=====

w | # GGA-PBE Er2ZnNi, optimized geometry
# - magnetic moment (μB per formula unit) = 0.00
data_Er2ZnNi
_space_group_name_H-M_alt 'F m -3 m'
_space_group_IT_number 225
_space_group_name_Hall '-F 4 2 3'
_cell_length_a 6.875
_cell_length_b 6.875
_cell_length_c 6.875
_cell_angle_alpha 90.00
_cell_angle_beta 90.00
_cell_angle_gamma 90.00
loop_
_atom_site_label
_atom_site_type_symbol
_atom_site_fract_x
_atom_site_fract_y
_atom_site_fract_z
_atom_site_occupancy
Er1 Er 0.250 0.250 0.250 1
Zn1 Zn 0.000 0.000 0.000 1
Ni1 Ni 0.000 0.000 0.500 1

=====

x | # GGA-PBE Er2ZnNi, optimized geometry
# - magnetic moment (μB per formula unit) = 0.00
data_Er2ZnNi
_space_group_name_H-M_alt 'R -3 m'
_space_group_IT_number 166
_space_group_name_Hall '-R 3 2"'
_cell_length_a 3.8561
_cell_length_b 3.8561
_cell_length_c 27.0616
_cell_angle_alpha 90.00
_cell_angle_beta 90.00
_cell_angle_gamma 120.00
loop_
_atom_site_label
_atom_site_type_symbol
_atom_site_fract_x
_atom_site_fract_y
_atom_site_fract_z
_atom_site_occupancy
Er1 Er 0.0000 0.0000 0.1137 1
Zn1 Zn 0.0000 0.0000 0.0000 1
Ni1 Ni 0.0000 0.0000 0.5000 1

=====

y | # GGA-PBE Er2ZnNi, optimized geometry
# - magnetic moment (μB per formula unit) = 0.00
data_Er2ZnNi
_space_group_name_H-M_alt 'P 4/m m m'
_space_group_IT_number 123
_space_group_name_Hall '-P 4 2'
_cell_length_a 3.430
_cell_length_b 3.430
_cell_length_c 6.912
_cell_angle_alpha 90.00
_cell_angle_beta 90.00
_cell_angle_gamma 90.00
loop_
_atom_site_label
_atom_site_type_symbol
_atom_site_fract_x
_atom_site_fract_y
_atom_site_fract_z
_atom_site_occupancy
Er1 Er 0.000 0.000 0.234 1
Zn1 Zn 0.500 0.500 0.500 1
Ni1 Ni 0.500 0.500 0.000 1

=====

y ends up most stable, edging out the next structure by 28 meV per atom.

=====

w | # GGA-PBE Er2Zn5Ni5, optimized geometry
# - magnetic moment (μB per formula unit) = 0.00
data_Er2Zn5Ni5
_space_group_name_H-M_alt 'P m m m'
_space_group_IT_number 47
_cell_length_a 4.073
_cell_length_b 5.079
_cell_length_c 8.709
_cell_angle_alpha 90.00
_cell_angle_beta 90.00
_cell_angle_gamma 90.00
loop_
_space_group_symop_operation_xyz
'x,y,z'
'-x,-y,-z'
'-x,-y,z'
'x,y,-z'
'x,-y,-z'
'-x,y,z'
'-x,y,-z'
'x,-y,z'
loop_
_atom_site_label
_atom_site_type_symbol
_atom_site_fract_x
_atom_site_fract_y
_atom_site_fract_z
_atom_site_occupancy
Er1 Er 0.000 0.000 0.000 1
Er2 Er 0.000 0.500 0.500 1
Zn1 Zn 0.500 0.000 0.500 1
Zn2 Zn 0.500 0.252 0.244 1
Ni1 Ni 0.000 0.000 0.333 1
Ni2 Ni 0.000 0.500 0.161 1
Ni3 Ni 0.500 0.500 0.000 1

=====

x | # GGA-PBE Er2Zn5Ni5, optimized geometry
# - magnetic moment (μB per formula unit) = 0.00
data_Er2Zn5Ni5
_space_group_name_H-M_alt 'P m m m'
_space_group_IT_number 47
_cell_length_a 3.980
_cell_length_b 5.123
_cell_length_c 8.850
_cell_angle_alpha 90.00
_cell_angle_beta 90.00
_cell_angle_gamma 90.00
loop_
_space_group_symop_operation_xyz
'x,y,z'
'-x,-y,-z'
'-x,-y,z'
'x,y,-z'
'x,-y,-z'
'-x,y,z'
'-x,y,-z'
'x,-y,z'
loop_
_atom_site_label
_atom_site_type_symbol
_atom_site_fract_x
_atom_site_fract_y
_atom_site_fract_z
_atom_site_occupancy
Er1 Er 0.000 0.000 0.000 1
Er2 Er 0.000 0.500 0.500 1
Zn1 Zn 0.000 0.000 0.325 1
Zn2 Zn 0.000 0.500 0.167 1
Zn3 Zn 0.500 0.000 0.500 1
Ni1 Ni 0.500 0.251 0.247 1
Ni2 Ni 0.500 0.500 0.000 1

=====

w ends up most stable, edging out the next structure by 43 meV per atom.